No. 1
This record from Alexandria via LeMat-Bulk describes a relaxed structure of K2SiHgTe4. The functional is PBE.

Structure (POSCAR):
```
K2SiHgTe4
1.0
5.910 -7.250 0.000
5.910 7.250 0.000
-5.398 0.000 7.215
K Si Hg Te
4 2 2 8
direct
0.000 0.000 0.000
0.000 0.000 0.500
0.000 0.500 0.000
0.500 0.000 0.500
0.000 0.500 0.500
0.500 0.000 0.000
0.500 0.500 0.000
0.500 0.500 0.500
0.175 0.721 0.474
0.216 0.342 0.504
0.279 0.825 0.026
0.342 0.216 0.004
0.658 0.784 0.996
0.721 0.175 0.974
0.784 0.658 0.496
0.825 0.279 0.526
```

Values from the calculation:
Crystal system ... monoclinic
Formation energy (no corrections) ... -1.95 eV per formula unit
SG ... C2/c, No. 15

No. 2
This record from Alexandria via LeMat-Bulk describes a relaxed structure of Hf3VMo. The functional is PBE.

Structure (POSCAR):
```
Hf3VMo
1.0
4.765 0.000 0.000
0.000 4.765 0.000
0.000 0.000 4.765
Hf V Mo
3 1 1
direct
0.000 0.000 0.500
0.000 0.500 0.000
0.500 0.000 0.000
0.000 0.000 0.000
0.500 0.500 0.500
```

Values from the calculation:
ΔE_f ... 5.3 eV/f.u.
Crystal system ... cubic
SG ... Pm-3m, No. 221
Energy relative to the lowest polymorph listed for this composition ... 0.000 eV/atom

No. 3
This record from Alexandria via LeMat-Bulk describes a relaxed structure of Sr3Si2P4. The functional is PBE.

Structure (POSCAR):
```
Sr3Si2P4
1.0
7.459 -4.162 0.000
7.459 4.162 0.000
-0.081 0.000 7.325
Sr Si P
6 4 8
direct
0.014 0.986 0.750
0.262 0.483 0.400
0.483 0.262 0.900
0.517 0.738 0.100
0.738 0.517 0.600
0.986 0.014 0.250
0.040 0.340 0.991
0.340 0.040 0.491
0.660 0.960 0.509
0.960 0.660 0.009
0.154 0.282 0.685
0.215 0.667 0.006
0.282 0.154 0.185
0.333 0.785 0.494
0.667 0.215 0.506
0.718 0.846 0.815
0.785 0.333 0.994
0.846 0.718 0.315
```

Values from the calculation:
Crystal system ... monoclinic
Formation energy (no corrections) ... -6.89 eV per formula unit
SG ... C2/c, No. 15

No. 4
This record from Alexandria via LeMat-Bulk describes a relaxed structure of ZrNi2Ru. The functional is PBE.

Structure (POSCAR):
```
ZrNi2Ru
1.0
-1.931 1.931 3.833
1.931 -1.931 3.833
1.931 1.931 -3.833
Zr Ni Ru
1 2 1
direct
0.000 0.000 0.000
0.500 0.500 0.000
0.750 0.250 0.500
0.250 0.750 0.500
```

Values from the calculation:
ΔE_f ... -0.7 eV/f.u.
Crystal system ... tetragonal
SG ... I-4m2, No. 119

No. 5
This record from Alexandria via LeMat-Bulk describes a relaxed structure of RbCd2In4Ga. The functional is PBE.

Structure (POSCAR):
```
RbCd2In4Ga
1.0
2.591 1.496 10.490
-2.591 1.496 10.490
0.000 -2.991 10.490
Rb Cd In Ga
1 2 4 1
direct
0.000 0.000 0.000
0.238 0.238 0.238
0.762 0.762 0.762
0.134 0.134 0.134
0.410 0.410 0.410
0.590 0.590 0.590
0.866 0.866 0.866
0.500 0.500 0.500
```

Values from the calculation:
ΔE_f ... -0.2 eV/f.u.
Crystal system ... trigonal
SG ... R-3m, No. 166

No. 6
This record from Alexandria via LeMat-Bulk describes a relaxed structure of Li2PbCl. The functional is PBE.

Structure (POSCAR):
```
Li2PbCl
1.0
5.145 0.000 0.000
0.000 5.145 0.000
0.000 0.000 3.280
Li Pb Cl
2 1 1
direct
0.000 0.500 0.000
0.500 0.000 0.000
0.000 0.000 0.500
0.500 0.500 0.500
```

Values from the calculation:
Crystal system ... tetragonal
Formation energy (no corrections) ... -2.23 eV per formula unit
SG ... P4/mmm, No. 123
Energy relative to the lowest polymorph listed for this composition ... 0.372 eV/atom

No. 7
This record from Alexandria via LeMat-Bulk describes a relaxed structure of LaHfAu. The functional is PBE.

Structure (POSCAR):
```
LaHfAu
1.0
5.257 0.000 0.000
0.000 3.432 0.000
-2.622 0.000 8.239
La Hf Au
2 2 2
direct
0.000 0.000 0.000
0.337 0.000 0.669
0.660 0.000 0.315
0.807 0.500 0.610
0.175 0.500 0.344
0.514 0.500 0.029
```

Values from the calculation:
ΔE_f ... -0.8 eV/f.u.
Crystal system ... monoclinic
SG ... Pm, No. 6
Energy relative to the lowest polymorph listed for this composition ... 0.150 eV/atom

No. 8
This record from Alexandria via LeMat-Bulk describes a relaxed structure of Ca3Nd5Se8. The functional is PBE.

Structure (POSCAR):
```
Ca3Nd5Se8
1.0
4.202 2.426 6.945
-4.202 2.426 6.945
0.000 -4.852 6.945
Ca Nd Se
3 5 8
direct
0.000 0.500 0.500
0.500 0.000 0.500
0.500 0.500 0.000
0.000 0.000 0.000
0.000 0.000 0.500
0.000 0.500 0.000
0.500 0.000 0.000
0.500 0.500 0.500
0.250 0.250 0.744
0.250 0.744 0.250
0.252 0.252 0.252
0.256 0.750 0.750
0.744 0.250 0.250
0.748 0.748 0.748
0.750 0.256 0.750
0.750 0.750 0.256
```

Values from the calculation:
Crystal system ... trigonal
Formation energy (no corrections) ... -30.18 eV per formula unit
SG ... R-3m, No. 166

No. 9
This record from Alexandria via LeMat-Bulk describes a relaxed structure of ReAgCl2. The functional is PBE.

Structure (POSCAR):
```
ReAgCl2
1.0
3.069 0.000 0.000
0.000 4.269 0.000
0.000 0.000 6.000
Re Ag Cl
1 1 2
direct
0.000 0.000 0.000
0.500 0.000 0.500
0.000 0.500 0.500
0.500 0.500 0.000
```

Values from the calculation:
Crystal system ... orthorhombic
Formation energy (no corrections) ... 3.30 eV per formula unit
SG ... Pmmm, No. 47
Energy relative to the lowest polymorph listed for this composition ... 0.641 eV/atom

No. 10
This record from Alexandria via LeMat-Bulk describes a relaxed structure of Ba2SiPb. The functional is PBE.

Structure (POSCAR):
```
Ba2SiPb
1.0
2.124 1.226 10.352
-2.124 1.226 10.352
0.000 -2.453 10.352
Ba Si Pb
2 1 1
direct
0.239 0.239 0.239
0.761 0.761 0.761
0.500 0.500 0.500
0.000 0.000 0.000
```

Values from the calculation:
Crystal system ... trigonal
Formation energy (no corrections) ... -0.28 eV per formula unit
SG ... R-3m, No. 166
Energy relative to the lowest polymorph listed for this composition ... 0.364 eV/atom

No. 11
This record from Alexandria via LeMat-Bulk describes a relaxed structure of Ac3Tl2ZnPd8. The functional is PBE.

Structure (POSCAR):
```
Ac3Tl2ZnPd8
1.0
5.694 0.000 0.000
-2.847 4.931 0.000
0.000 0.000 10.851
Ac Tl Zn Pd
3 2 1 8
direct
0.000 0.000 0.000
0.333 0.667 0.581
0.667 0.333 0.419
0.333 0.667 0.101
0.667 0.333 0.899
0.000 0.000 0.500
0.164 0.328 0.306
0.164 0.836 0.306
0.328 0.164 0.694
0.333 0.667 0.851
0.667 0.333 0.149
0.672 0.836 0.306
0.836 0.164 0.694
0.836 0.672 0.694
```

Values from the calculation:
ΔE_f ... -7.7 eV/f.u.
Crystal system ... trigonal
SG ... P-3m1, No. 164

No. 12
This record from Alexandria via LeMat-Bulk describes a relaxed structure of La2InTc. The functional is PBE.

Structure (POSCAR):
```
La2InTc
1.0
3.670 -3.678 0.000
3.670 3.678 0.000
0.000 0.000 3.929
La In Tc
2 1 1
direct
0.000 0.500 0.000
0.500 0.000 0.000
0.000 0.000 0.500
0.500 0.500 0.500
```

Values from the calculation:
ΔE_f ... 0.1 eV/f.u.
Crystal system ... orthorhombic
SG ... Cmmm, No. 65